Record 1
Below is a geometry-optimized Ac8Ag2Os structure, with properties calculated at the GGA-PBE level.

Size of the total moment in μB per cell: 0.0
Space group: No. 12
ΔE_f in eV/atom: -0.083

```
Ac8Ag2Os
1.0
4.203 0.000 -0.893
-0.139 9.813 -0.654
-0.007 0.032 10.307
Ac Ag Os
8 2 1
Cartesian
2.423 5.103 1.067
1.474 0.060 6.940
0.887 3.298 4.176
4.054 7.847 8.747
3.170 6.546 4.584
2.583 9.784 1.820
1.634 4.742 7.693
0.003 1.997 0.013
0.586 7.280 2.759
3.471 2.565 6.000
2.102 0.000 -0.446
```


Record 2
Below is a geometry-optimized Re2PtRh structure, with properties calculated at the GGA-PBE level.

Size of the total moment in μB per cell: 0.0
Space group: No. 123
ΔE_f in eV/atom: 0.309

```
Re2PtRh
1.0
3.352 0.000 0.000
0.000 3.352 0.000
0.000 0.000 5.432
Re Pt Rh
2 1 1
Cartesian
0.000 0.000 4.159
0.000 0.000 1.273
1.676 1.676 2.716
1.676 1.676 0.000
```


Record 3
Below is a geometry-optimized BaTcAsSe2 structure, with properties calculated at the GGA-PBE level.

Size of the total moment in μB per cell: 2.0
Formation energy (no corrections) in meV per atom: -558
Space group: No. 123

```
BaTcAsSe2
1.0
-4.317 2.380 1.840
-0.002 -3.220 4.161
2.703 3.068 2.375
As Ba Se Tc
1 1 2 1
Cartesian
1.352 1.534 1.188
-0.808 1.114 4.188
-0.001 -1.610 2.081
-2.159 1.190 0.920
0.000 0.000 0.000
```


Record 4
Below is a geometry-optimized Pr2Sn5Hg structure, with properties calculated at the GGA-PBE level.

Size of the total moment in μB per cell: 0.0
Space group: No. 55
ΔE_f in eV/atom: -0.521

```
Pr2Sn5Hg
1.0
4.738 0.000 0.000
0.000 6.750 0.000
0.000 0.000 13.527
Pr Sn Hg
4 10 2
Cartesian
2.369 1.718 8.486
2.369 5.032 5.041
2.369 1.657 1.723
2.369 5.094 11.804
0.000 0.000 0.000
0.000 3.375 6.764
0.000 3.439 10.111
0.000 3.311 3.416
0.000 6.687 3.348
0.000 0.064 10.179
2.369 1.729 11.862
2.369 5.022 1.665
2.369 1.647 5.099
2.369 5.104 8.429
0.000 0.000 6.764
0.000 3.375 0.000
```


Record 5
Below is a geometry-optimized AcAgTe2 structure, with properties calculated at the GGA-PBE level.

Size of the total moment in μB per cell: 0.0
Formation energy (no corrections) in meV per atom: -1061
Space group: No. 14

```
AcAgTe2
1.0
7.567 0.012 0.000
-0.970 8.094 0.000
0.000 0.000 8.462
Ac Ag Te
4 4 8
Cartesian
5.887 1.635 8.093
1.194 2.424 3.862
0.709 6.471 0.369
5.402 5.682 4.600
2.356 7.758 5.620
4.241 0.348 2.842
3.756 4.395 1.389
2.841 3.711 7.073
0.559 0.008 6.134
6.523 4.051 1.903
6.038 8.098 2.328
0.074 4.055 6.559
2.743 1.736 0.888
2.258 5.783 3.343
3.853 6.370 7.574
4.339 2.323 5.119
```


Record 6
Below is a geometry-optimized BSF structure, with properties calculated at the GGA-PBE level.

Size of the total moment in μB per cell: 0.0
Formation energy (no corrections) in meV per atom: -1431
Space group: No. 11

```
BSF
1.0
3.082 0.000 0.000
0.000 5.303 0.364
0.000 -1.142 6.179
B S F
2 2 2
Cartesian
0.128 2.241 4.796
1.668 2.647 0.545
0.127 3.865 0.564
1.669 1.022 4.777
1.668 1.635 1.442
0.128 3.253 3.899
```


Record 7
Below is a geometry-optimized TlGeBrCl2 structure, with properties calculated at the GGA-PBE level.

Size of the total moment in μB per cell: 0.0
Formation energy (no corrections) in meV per atom: -820
Space group: No. 11

```
TlGeBrCl2
1.0
-5.090 1.813 0.293
-1.671 -5.035 2.131
2.649 5.960 9.132
Tl Ge Br Cl
2 2 2 4
Cartesian
-2.584 3.692 7.218
-1.528 -0.953 4.338
-0.591 0.813 9.688
-3.521 1.926 1.868
-4.311 -0.423 2.680
0.199 3.162 8.876
-3.155 1.653 9.904
-0.956 1.086 1.652
-1.023 -0.055 7.545
-3.088 2.794 4.011
```


Record 8
Below is a geometry-optimized Na2SrPN structure, with properties calculated at the GGA-PBE level.

Size of the total moment in μB per cell: 2.0
Formation energy (no corrections) in meV per atom: 448
Space group: No. 123

```
Na2SrPN
1.0
-0.610 0.665 -5.132
1.099 -5.033 -0.782
-5.742 -1.333 0.509
Sr N Na P
1 1 2 1
Cartesian
-2.871 -0.667 0.255
-2.626 -2.850 -2.702
0.549 -2.516 -0.391
-0.305 0.332 -2.566
0.000 0.000 0.000
```


Record 9
Below is a geometry-optimized Sb2TeAsPd structure, with properties calculated at the GGA-PBE level.

Size of the total moment in μB per cell: 0.0
Formation energy (no corrections) in meV per atom: 522
Space group: No. 123

```
Sb2TeAsPd
1.0
5.134 0.000 0.000
0.000 5.134 0.000
0.000 0.000 5.394
Sb As Te Pd
2 1 1 1
Cartesian
0.000 2.567 0.000
2.567 0.000 0.000
2.567 2.567 2.697
0.000 0.000 2.697
0.000 0.000 0.000
```


Record 10
Below is a geometry-optimized La2HgH structure, with properties calculated at the GGA-PBE level.

Final energy in eV per atom: -3.722
Size of the total moment in μB per cell: 0.0
Space group: No. 166

```
La2HgH
1.0
-0.301 -1.688 3.383
2.790 0.344 2.545
-2.692 6.132 4.946
H Hg La
1 1 2
Cartesian
0.000 0.000 0.000
-0.101 2.395 5.437
0.177 0.772 2.527
-0.380 4.017 8.347
```


Record 11
Below is a geometry-optimized Pb3W structure, with properties calculated at the GGA-PBE level.

Size of the total moment in μB per cell: 2.4
Space group: No. 139
ΔE_f in eV/atom: 1.038

```
Pb3W
1.0
-2.976 1.097 4.602
-3.096 -4.580 0.817
5.518 0.407 -0.786
Pb W
3 1
Cartesian
-0.307 -2.958 1.370
-3.036 -1.742 2.709
-0.247 -0.119 3.263
0.000 0.000 0.000
```


Record 12
Below is a geometry-optimized Rb2PaTl2O6 structure, with properties calculated at the GGA-PBE level.

Size of the total moment in μB per cell: 0.0
Formation energy (no corrections) in meV per atom: -1739
Space group: No. 166

```
Rb2PaTl2O6
1.0
-3.067 3.792 -4.508
-5.833 2.824 1.452
0.049 7.291 1.207
Rb Pa Tl O
2 1 2 6
Cartesian
-7.026 9.778 -1.672
-1.826 4.129 -0.177
0.000 0.000 0.000
-3.731 8.126 -0.411
-5.121 5.781 -1.437
-6.940 6.693 -2.134
-5.247 4.599 0.355
-3.720 5.134 -2.935
-5.132 8.773 1.087
-3.605 9.308 -2.204
-1.911 7.214 0.285
```